Entry 1:
CrTcRh5 after structural relaxation, computed with PBE.

Formation enthalpy at 0 K ... 212 meV per atom

a b c (Å): 5.3083 5.3083 10.8252
angles (deg): 58.84 58.84 62.87
Last column: magnetic moment on the atom in μB.
Sites, in units of the cell vectors:
Rh  0.9284  0.0716  0.7500  -0.07
Rh  0.2778  0.4520  0.4900  -0.06
Rh  0.0716  0.9284  0.2500  -0.07
Rh  0.4473  0.0781  0.7306  -0.08
Rh  0.9219  0.5527  0.7694  -0.08
Rh  0.4520  0.2778  0.9900  -0.06
Rh  0.5527  0.9219  0.2694  -0.08
Rh  0.7222  0.5480  0.5100  -0.06
Rh  0.0781  0.4473  0.2306  -0.08
Rh  0.5480  0.7222  0.0100  -0.06
Tc  0.3788  0.6212  0.7500  0.03
Tc  0.6212  0.3788  0.2500  0.03
Cr  0.0000  0.0000  0.5000  2.86
Cr  0.0000  0.0000  0.0000  2.86

Entry 2:
HfBe2 after structural relaxation, computed with PBE.

Formation enthalpy at 0 K ... 188 meV per atom

a b c (Å): 3.4820 3.4820 3.5634
angles (deg): 105.83 105.83 82.41
Sites, in units of the cell vectors:
Hf  0.5000  0.5000  0.0000
Be  0.1077  0.1077  0.3165
Be  0.8923  0.8923  0.6835

Entry 3:
Sr2LiZn after structural relaxation, computed with PBE.

Formation enthalpy at 0 K ... -46 meV per atom

a b c (Å): 3.8832 3.8859 8.7689
angles (deg): 90.00 90.00 90.00
Sites, in units of the cell vectors:
Sr  0.5000  0.5000  0.3203
Sr  0.0000  0.0000  0.9440
Zn  0.0000  0.0000  0.5518
Li  0.5000  0.5000  0.6838

Question: Look up the formation enthalpy at 0 K of the first one.
Answer: 212 meV per atom